1.
3
Lattice="-2.452 1.783 -0.375 -2.487 -2.656 3.637 2.799 4.121 1.285" Properties=species:S:1:pos:R:3 comment="NaLiIn | the Alexandria database | PBE | optimized geometry" sg=P3m1 ef_ev_per_atom=-0.128 relative_energy_mev_per_atom=25 e_tot_ev_per_atom=-2.118 pbc="T T T"
Na -0.294 0.213 -0.045
Li 0.498 2.254 1.986
In -2.345 0.780 2.605

2.
7
Lattice="4.182 0.000 0.000 -2.091 3.622 0.000 0.000 0.000 14.768" Properties=species:S:1:pos:R:3 comment="Np2AgTe4 | the Alexandria database | PBE | optimized geometry" sg=P-3m1 e_form_raw_ev_per_atom=-0.4046 e_tot_ev_per_atom=-6.305 pbc="T T T"
Np 0.000 0.000 3.638
Np 0.000 0.000 11.130
Te 0.000 2.415 13.001
Te 2.091 1.207 1.767
Te 2.091 1.207 5.634
Te 0.000 2.415 9.134
Ag 0.000 0.000 7.384

3.
14
Lattice="-0.522 -0.189 4.188 8.525 -2.366 0.957 3.203 11.923 0.937" Properties=species:S:1:pos:R:3 comment="CdGa2Br4 | the Alexandria database | PBE | optimized geometry" sg=Pbam e_form_raw_ev_per_atom=-0.6690 relative_energy_mev_per_atom=0 e_tot_ev_per_atom=-2.620 pbc="T T T"
Br 3.329 9.138 0.827
Br 8.399 0.419 1.067
Br 4.363 2.446 0.654
Br 7.365 7.111 1.239
Br 1.648 0.026 2.337
Br 9.558 9.343 3.744
Br 4.019 5.774 2.892
Br 7.187 3.595 3.189
Ga 5.195 8.501 3.162
Ga 6.011 0.867 2.920
Ga 1.999 2.983 2.514
Ga 9.207 6.386 3.567
Cd 0.000 0.000 0.000
Cd 5.864 4.779 0.947

4.
3
Lattice="8.223 0.008 0.000 6.585 4.925 0.000 -7.404 -2.467 2.591" Properties=species:S:1:pos:R:3 comment="Ca2Sc | the Alexandria database | PBE | optimized geometry" sg=I4/mmm ef_ev_per_atom=0.186 relative_energy_mev_per_atom=40 e_tot_ev_per_atom=-3.259 pbc="T T T"
Sc 0.000 0.000 0.000
Ca 5.109 1.702 0.000
Ca 9.698 3.231 0.000

5.
3
Lattice="-0.261 3.228 2.486 -0.485 -2.498 3.193 5.646 -0.483 -2.132" Properties=species:S:1:pos:R:3 comment="PrYSb | the Alexandria database | PBE | optimized geometry" sg=I4mm e_form_raw_ev_per_atom=-0.6524 e_tot_ev_per_atom=-5.774 pbc="T T T"
Pr 2.885 -0.065 0.387
Sb 0.763 0.340 2.992
Y 4.569 0.254 3.503

6.
4
Lattice="-1.447 1.615 2.934 -3.344 -0.524 -1.361 -0.371 -6.612 3.458" Properties=species:S:1:pos:R:3 comment="La2MnW | the Alexandria database | PBE | optimized geometry" sg=P4/mmm ef_ev_per_atom=0.635 relative_energy_mev_per_atom=317 e_tot_ev_per_atom=-7.360 pbc="T T T"
La -0.367 -6.545 3.422
La -0.189 -3.374 1.764
Mn -2.488 -1.107 1.651
W -2.674 -4.414 3.380

7.
18
Lattice="5.272 0.000 0.000 0.000 5.272 0.000 0.000 0.000 10.670" Properties=species:S:1:pos:R:3 comment="Na2CeF6 | the Alexandria database | PBE | optimized geometry" sg=P4_2/mnm e_form_raw_ev_per_atom=-3.3515 e_tot_ev_per_atom=-5.551 pbc="T T T"
Na 2.636 2.636 3.578
Na 2.636 2.636 7.091
Na 0.000 0.000 1.756
Na 0.000 0.000 8.913
Ce 2.636 2.636 0.000
Ce 0.000 0.000 5.335
F 3.638 3.638 1.653
F 3.638 3.638 9.017
F 3.728 3.728 5.335
F 4.180 1.092 0.000
F 4.270 1.002 3.682
F 4.270 1.002 6.988
F 1.002 4.270 3.682
F 1.002 4.270 6.988
F 1.092 4.180 0.000
F 1.544 1.544 5.335
F 1.634 1.634 1.653
F 1.634 1.634 9.017

8.
4
Lattice="6.875 -0.019 -0.059 -4.041 4.305 0.030 -1.208 0.827 2.535" Properties=species:S:1:pos:R:3 comment="AgOsCl2 | the Alexandria database | PBE | optimized geometry" sg=C2/m e_form_raw_ev_per_atom=0.7519 relative_energy_mev_per_atom=502 e_tot_ev_per_atom=-3.692 pbc="T T T"
Os -2.624 2.566 1.282
Ag 1.417 2.143 -0.015
Cl 0.000 0.000 0.000
Cl 2.833 0.404 1.238

9.
5
Lattice="5.179 0.000 0.000 0.000 5.179 0.000 0.000 0.000 5.179" Properties=species:S:1:pos:R:3 comment="Sc3TeAu | the Alexandria database | PBE | optimized geometry" sg=Pm-3m e_form_raw_ev_per_atom=-0.3148 relative_energy_mev_per_atom=0 e_tot_ev_per_atom=-5.397 pbc="T T T"
Sc 0.000 2.589 0.000
Sc 0.000 0.000 2.589
Sc 2.589 0.000 0.000
Te 2.589 2.589 2.589
Au 0.000 0.000 0.000

10.
4
Lattice="-3.547 0.368 -3.123 -4.681 -0.607 -0.434 -2.189 3.369 0.298" Properties=species:S:1:pos:R:3 comment="LiBeZn2 | the Alexandria database | PBE | optimized geometry" sg=Cm ef_ev_per_atom=0.027 e_tot_ev_per_atom=-2.019 pbc="T T T"
Be -5.163 1.597 -1.599
Li -2.551 0.812 -0.782
Zn -2.206 3.361 0.288
Zn -7.896 2.296 -2.498

11.
8
Lattice="-1.927 -6.080 0.890 0.714 -1.206 7.266 -4.698 1.114 4.415" Properties=species:S:1:pos:R:3 comment="BaNbCl6 | the Alexandria database | PBE | optimized geometry" sg=C2/m e_form_raw_ev_per_atom=-1.6658 e_tot_ev_per_atom=-4.550 pbc="T T T"
Ba 0.000 0.000 0.000
Nb -0.606 -3.643 4.078
Cl -4.289 -4.448 7.360
Cl -2.825 -4.463 3.445
Cl -3.086 -1.710 9.125
Cl -1.622 -1.725 5.210
Cl -0.714 -4.899 6.142
Cl -0.499 -2.387 2.014

12.
4
Lattice="-2.011 -3.258 -6.589 -0.585 -5.354 -5.391 -3.408 -1.876 0.776" Properties=species:S:1:pos:R:3 comment="SiHg2Os | the Alexandria database | PBE | optimized geometry" sg=Immm e_form_raw_ev_per_atom=0.2036 e_tot_ev_per_atom=-4.110 pbc="T T T"
Hg -3.354 -2.344 -0.109
Hg -3.057 -4.775 -4.716
Os -4.504 -7.866 -8.403
Si -1.501 -2.622 -2.801